(1)
First-principles (PBE) data for crystalline NiHg2Br at its relaxed geometry, as listed in Alexandria.

Results
total DFT energy (no corrections) = -1.904 eV per atom
V = 28.493 Å³/atom
E_form (uncorrected) = 10.67 kJ/mol of atoms
theoretical density = 7.9 g cm⁻³

Cell and atoms, written as CIF:
```
data_NiHg2Br
_chemical_formula_sum 'Ni1 Hg2 Br1'
_space_group_name_H-M_alt 'P 4 m m'
_space_group_IT_number 99
_space_group_name_Hall 'P 4 -2'
_cell_length_a 3.4119
_cell_length_b 3.4119
_cell_length_c 9.7908
_cell_angle_alpha 90.00
_cell_angle_beta 90.00
_cell_angle_gamma 90.00
loop_
_atom_site_label
_atom_site_fract_x
_atom_site_fract_y
_atom_site_fract_z
Ni1 0.0000 0.0000 0.0000
Hg1 0.0000 0.0000 0.2754
Hg2 0.5000 0.5000 0.5453
Br1 0.5000 0.5000 0.9434
```


(2)
First-principles (PBE) data for crystalline Ho5Er12Sc2 at its relaxed geometry, as listed in Alexandria.

Results
energy of formation from the pure elements = 0.087 eV per atom
total DFT energy (no corrections) = -4.666 eV per atom
V = 30.385 Å³/atom
theoretical density = 8.4 g cm⁻³

Cell and atoms, written as CIF:
```
data_Ho5Er12Sc2
_chemical_formula_sum 'Ho5 Er12 Sc2'
_space_group_name_H-M_alt 'P -1'
_space_group_IT_number 2
_space_group_name_Hall '-P 1'
_cell_length_a 6.1898
_cell_length_b 8.1886
_cell_length_c 12.1920
_cell_angle_alpha 70.49
_cell_angle_beta 88.53
_cell_angle_gamma 82.45
loop_
_atom_site_label
_atom_site_fract_x
_atom_site_fract_y
_atom_site_fract_z
Ho1 0.0000 0.0000 0.0000
Ho2 0.2422 0.6076 0.9474
Ho3 0.3430 0.8355 0.3807
Er1 0.0623 0.5907 0.2313
Er2 0.0885 0.1862 0.4336
Er3 0.1820 0.0209 0.7289
Er4 0.2746 0.2003 0.1524
Er5 0.4346 0.6637 0.6730
Er6 0.4680 0.2192 0.8775
Sc1 0.2482 0.4528 0.5354
```


(3)
First-principles (PBE) data for crystalline LiLa2Mg at its relaxed geometry, as listed in Alexandria.

Results
energy of formation from the pure elements = 0.007 eV per atom
total DFT energy (no corrections) = -3.334 eV per atom
V = 29.145 Å³/atom
theoretical density = 4.4 g cm⁻³

Cell and atoms, written as CIF:
```
data_LiLa2Mg
_chemical_formula_sum 'Li1 La2 Mg1'
_space_group_name_H-M_alt 'P 4 m m'
_space_group_IT_number 99
_space_group_name_Hall 'P 4 -2'
_cell_length_a 3.6563
_cell_length_b 3.6563
_cell_length_c 8.7208
_cell_angle_alpha 90.00
_cell_angle_beta 90.00
_cell_angle_gamma 90.00
loop_
_atom_site_label
_atom_site_fract_x
_atom_site_fract_y
_atom_site_fract_z
Li1 0.0000 0.0000 0.0000
La1 0.0000 0.0000 0.4373
La2 0.5000 0.5000 0.7373
Mg1 0.5000 0.5000 0.1645
```


(4)
First-principles (PBE) data for crystalline AlAg2Se at its relaxed geometry, as listed in Alexandria.

Results
total DFT energy (no corrections) = -3.126 eV per atom
V = 18.691 Å³/atom
E_form (uncorrected) = 10.30 kJ/mol of atoms
theoretical density = 7.1 g cm⁻³

Cell and atoms, written as CIF:
```
data_AlAg2Se
_chemical_formula_sum 'Al2 Ag4 Se2'
_space_group_name_H-M_alt 'C 1 2/m 1'
_space_group_IT_number 12
_space_group_name_Hall '-C 2y'
_cell_length_a 5.7318
_cell_length_b 8.7933
_cell_length_c 2.9667
_cell_angle_alpha 90.00
_cell_angle_beta 90.13
_cell_angle_gamma 90.00
loop_
_atom_site_label
_atom_site_fract_x
_atom_site_fract_y
_atom_site_fract_z
Al1 0.0000 0.0000 0.0000
Ag1 0.2500 0.2500 0.5000
Se1 0.0000 0.5000 0.0000
```


(5)
First-principles (PBE) data for crystalline CdIn2AgI at its relaxed geometry, as listed in Alexandria.

Results
total DFT energy (no corrections) = -2.199 eV per atom
V = 32.352 Å³/atom
E_form (uncorrected) = -3.85 kJ/mol of atoms
theoretical density = 5.9 g cm⁻³

Cell and atoms, written as CIF:
```
data_CdIn2AgI
_chemical_formula_sum 'Cd1 In2 Ag1 I1'
_space_group_name_H-M_alt 'P 4/m m m'
_space_group_IT_number 123
_space_group_name_Hall '-P 4 2'
_cell_length_a 5.4845
_cell_length_b 5.4845
_cell_length_c 5.3776
_cell_angle_alpha 90.00
_cell_angle_beta 90.00
_cell_angle_gamma 90.00
loop_
_atom_site_label
_atom_site_fract_x
_atom_site_fract_y
_atom_site_fract_z
Cd1 0.0000 0.0000 0.0000
In1 0.0000 0.5000 0.5000
Ag1 0.0000 0.0000 0.5000
I1 0.5000 0.5000 0.0000
```


(6)
First-principles (PBE) data for crystalline Fe2CoRu at its relaxed geometry, as listed in Alexandria.

Results
energy of formation from the pure elements = 0.148 eV per atom
total DFT energy (no corrections) = -8.179 eV per atom
V = 12.451 Å³/atom
theoretical density = 9.1 g cm⁻³

Cell and atoms, written as CIF:
```
data_Fe2CoRu
_chemical_formula_sum 'Fe2 Co1 Ru1'
_space_group_name_H-M_alt 'P 1 m 1'
_space_group_IT_number 6
_space_group_name_Hall 'P -2y'
_cell_length_a 2.5456
_cell_length_b 4.1054
_cell_length_c 4.8479
_cell_angle_alpha 90.00
_cell_angle_beta 100.58
_cell_angle_gamma 90.00
loop_
_atom_site_label
_atom_site_fract_x
_atom_site_fract_y
_atom_site_fract_z
Fe1 0.0000 0.0000 0.0000
Fe2 0.2338 0.5000 0.7507
Co1 0.4535 0.0000 0.5156
Ru1 0.7420 0.5000 0.2512
```


(7)
First-principles (PBE) data for crystalline CaTlCo2 at its relaxed geometry, as listed in Alexandria.

Results
energy of formation from the pure elements = 0.460 eV per atom
total DFT energy (no corrections) = -4.185 eV per atom
V = 18.169 Å³/atom
theoretical density = 8.3 g cm⁻³

Cell and atoms, written as CIF:
```
data_CaTlCo2
_chemical_formula_sum 'Ca2 Tl2 Co4'
_space_group_name_H-M_alt 'I -4 m 2'
_space_group_IT_number 119
_space_group_name_Hall 'I -4 -2'
_cell_length_a 4.1484
_cell_length_b 4.1484
_cell_length_c 8.4460
_cell_angle_alpha 90.00
_cell_angle_beta 90.00
_cell_angle_gamma 90.00
loop_
_atom_site_label
_atom_site_fract_x
_atom_site_fract_y
_atom_site_fract_z
Ca1 0.0000 0.0000 0.0000
Tl1 0.0000 0.5000 0.2500
Co1 0.0000 0.0000 0.5000
Co2 0.0000 0.5000 0.7500
```


(8)
First-principles (PBE) data for crystalline YSbAs2 at its relaxed geometry, as listed in Alexandria.

Results
total DFT energy (no corrections) = -5.307 eV per atom
V = 23.943 Å³/atom
E_form (uncorrected) = -32.36 kJ/mol of atoms
theoretical density = 6.3 g cm⁻³

Cell and atoms, written as CIF:
```
data_YSbAs2
_chemical_formula_sum 'Y2 Sb2 As4'
_space_group_name_H-M_alt 'C m m m'
_space_group_IT_number 65
_space_group_name_Hall '-C 2 2'
_cell_length_a 4.2697
_cell_length_b 5.6648
_cell_length_c 7.9194
_cell_angle_alpha 90.00
_cell_angle_beta 90.00
_cell_angle_gamma 90.00
loop_
_atom_site_label
_atom_site_fract_x
_atom_site_fract_y
_atom_site_fract_z
Y1 0.0000 0.0000 0.0000
Sb1 0.0000 0.0000 0.5000
As1 0.0000 0.5000 0.2370
```


(9)
First-principles (PBE) data for crystalline Pm4Te3S2 at its relaxed geometry, as listed in Alexandria.

Results
total DFT energy (no corrections) = -5.737 eV per atom
V = 29.824 Å³/atom
E_form (uncorrected) = -160.25 kJ/mol of atoms
theoretical density = 6.4 g cm⁻³

Cell and atoms, written as CIF:
```
data_Pm4Te3S2
_chemical_formula_sum 'Pm8 Te6 S4'
_space_group_name_H-M_alt 'C 1 2/m 1'
_space_group_IT_number 12
_space_group_name_Hall '-C 2y'
_cell_length_a 14.4358
_cell_length_b 4.0578
_cell_length_c 9.2973
_cell_angle_alpha 90.00
_cell_angle_beta 99.69
_cell_angle_gamma 90.00
loop_
_atom_site_label
_atom_site_fract_x
_atom_site_fract_y
_atom_site_fract_z
Pm1 0.0755 0.0000 0.1814
Pm2 0.1650 0.5000 0.6085
Te1 0.0000 0.0000 0.5000
Te2 0.1030 0.5000 0.9145
S1 0.2021 0.5000 0.3152
```


(10)
First-principles (PBE) data for crystalline Ca2BeTe2 at its relaxed geometry, as listed in Alexandria.

Results
total DFT energy (no corrections) = -3.375 eV per atom
V = 29.447 Å³/atom
E_form (uncorrected) = -55.22 kJ/mol of atoms
theoretical density = 3.9 g cm⁻³

Cell and atoms, written as CIF:
```
data_Ca2BeTe2
_chemical_formula_sum 'Ca4 Be2 Te4'
_space_group_name_H-M_alt 'P 4/m b m'
_space_group_IT_number 127
_space_group_name_Hall '-P 4 2ab'
_cell_length_a 8.4744
_cell_length_b 8.4744
_cell_length_c 4.1004
_cell_angle_alpha 90.00
_cell_angle_beta 90.00
_cell_angle_gamma 90.00
loop_
_atom_site_label
_atom_site_fract_x
_atom_site_fract_y
_atom_site_fract_z
Ca1 0.1481 0.3519 0.0000
Be1 0.0000 0.0000 0.0000
Te1 0.1585 0.6585 0.5000
```


(11)
First-principles (PBE) data for crystalline HfRuRhAu2 at its relaxed geometry, as listed in Alexandria.

Results
energy of formation from the pure elements = 1.063 eV per atom
total DFT energy (no corrections) = -5.564 eV per atom
V = 22.020 Å³/atom
theoretical density = 11.7 g cm⁻³

Cell and atoms, written as CIF:
```
data_HfRuRhAu2
_chemical_formula_sum 'Hf1 Ru1 Rh1 Au2'
_space_group_name_H-M_alt 'P 4/m m m'
_space_group_IT_number 123
_space_group_name_Hall '-P 4 2'
_cell_length_a 4.9400
_cell_length_b 4.9400
_cell_length_c 4.5116
_cell_angle_alpha 90.00
_cell_angle_beta 90.00
_cell_angle_gamma 90.00
loop_
_atom_site_label
_atom_site_fract_x
_atom_site_fract_y
_atom_site_fract_z
Hf1 0.0000 0.0000 0.0000
Ru1 0.5000 0.5000 0.0000
Rh1 0.5000 0.5000 0.5000
Au1 0.0000 0.5000 0.5000
```


(12)
First-principles (PBE) data for crystalline TmPuMnZn at its relaxed geometry, as listed in Alexandria.

Results
energy of formation from the pure elements = 0.190 eV per atom
total DFT energy (no corrections) = -7.122 eV per atom
V = 21.565 Å³/atom
theoretical density = 10.3 g cm⁻³

Cell and atoms, written as CIF:
```
data_TmPuMnZn
_chemical_formula_sum 'Tm4 Pu4 Mn4 Zn4'
_space_group_name_H-M_alt 'F -4 3 m'
_space_group_IT_number 216
_space_group_name_Hall 'F -4 2 3'
_cell_length_a 7.0138
_cell_length_b 7.0138
_cell_length_c 7.0138
_cell_angle_alpha 90.00
_cell_angle_beta 90.00
_cell_angle_gamma 90.00
loop_
_atom_site_label
_atom_site_fract_x
_atom_site_fract_y
_atom_site_fract_z
Tm1 0.0000 0.0000 0.0000
Pu1 0.0000 0.0000 0.5000
Mn1 0.2500 0.2500 0.7500
Zn1 0.2500 0.2500 0.2500
```


(13)
First-principles (PBE) data for crystalline SnOsRuN at its relaxed geometry, as listed in Alexandria.

Results
total DFT energy (no corrections) = -7.713 eV per atom
V = 16.000 Å³/atom
E_form (uncorrected) = 47.84 kJ/mol of atoms
theoretical density = 11.0 g cm⁻³

Cell and atoms, written as CIF:
```
data_SnOsRuN
_chemical_formula_sum 'Sn1 Os1 Ru1 N1'
_space_group_name_H-M_alt 'P 1'
_space_group_IT_number 1
_space_group_name_Hall 'P 1'
_cell_length_a 2.9012
_cell_length_b 4.4024
_cell_length_c 5.4796
_cell_angle_alpha 67.75
_cell_angle_beta 81.61
_cell_angle_gamma 84.18
loop_
_atom_site_label
_atom_site_fract_x
_atom_site_fract_y
_atom_site_fract_z
Sn1 0.0000 0.0000 0.0000
Os1 0.0973 0.4324 0.4690
Ru1 0.6619 0.8666 0.6118
N1 0.6911 0.2668 0.2877
```